# 1
SrY3H | PBE | relaxed

Properties
E above lowest polymorph: 0.00 eV/f.u.
DOS at the Fermi energy: 7.55 states/eV/cell
E_tot: -24.4 eV per cell

Cell lengths 5.161, 5.161, 5.161 Å; angles 90.00, 90.00, 90.00 degrees
Space group Pm-3m (No. 221)
Symmetry-distinct sites (fractional):
1 Sr 0.000 0.000 0.000
2 Y 0.000 0.500 0.500
3 H 0.500 0.500 0.500


# 2
PrPt4Au2 | PBE | relaxed

Properties
E above lowest polymorph: 3.72 eV/f.u.
DOS at the Fermi energy: 16.70 states/eV/cell
E_tot: -69.4 eV per cell
ΔE_f: 11.2 kJ/mol of atoms

Cell lengths 8.206, 8.206, 5.326 Å; angles 90.00, 90.00, 90.00 degrees
Space group I4/mmm (No. 139)
Symmetry-distinct sites (fractional):
1 Pr 0.000 0.000 0.000
2 Pt 0.000 0.218 0.500
3 Au 0.000 0.500 0.250


# 3
LiNpBi | PBE | relaxed

Properties
DOS at the Fermi energy: 15.33 states/eV/cell
E_tot: -75.3 eV per cell
ΔE_f: -2.9 kJ/mol of atoms

Cell lengths 5.213, 7.763, 7.514 Å; angles 90.00, 106.04, 90.00 degrees
Space group C2/m (No. 12)
Symmetry-distinct sites (fractional):
1 Li 0.000 0.208 0.000
2 Np 0.000 0.156 0.500
3 Bi 0.093 0.500 0.762


# 4
CsZnHgPd2 | PBE | relaxed

Properties
DOS at the Fermi energy: 2.14 states/eV/cell
E_tot: -10.0 eV per cell
ΔE_f: 53.8 kJ/mol of atoms

Cell lengths 5.242, 5.242, 6.634 Å; angles 90.00, 90.00, 90.00 degrees
Space group P4/mmm (No. 123)
Symmetry-distinct sites (fractional):
1 Cs 0.000 0.000 0.000
2 Zn 0.500 0.500 0.000
3 Hg 0.000 0.000 0.500
4 Pd 0.000 0.500 0.500


> Which formula does entry 1 have?

SrY3H


> The highest DOS at the Fermi energy belongs to which entry?

PrPt4Au2


> Which of these has the lowest E_tot?

LiNpBi